Entry one
The following is a DFT calculation (PBE) of Ti2Nb2Tl after structural relaxation. Values from VASP.

```
&SYSTEM
  ibrav = 0, nat = 10, ntyp = 3
/
ATOMIC_SPECIES
Ti 47.87 Ti.upf
Nb 92.91 Nb.upf
Tl 204.38 Tl.upf
ATOMIC_POSITIONS angstrom
Ti -1.724 -4.845 -4.537
Nb 1.749 -1.838 -1.461
Tl 0.000 0.000 0.000
Ti 2.723 -4.498 -1.311
Nb 0.461 -4.797 -6.346
Ti -0.825 -2.897 -1.289
Nb 3.781 -4.504 -3.890
Nb -1.571 -2.131 -3.917
Tl 1.105 -3.318 -3.903
Ti 1.824 -6.446 -4.559
CELL_PARAMETERS angstrom
-3.697 -2.598 -5.875
5.907 -4.038 -1.932
-1.210 -2.708 1.959
```

Crystal system   tetragonal


Entry two
The following is a DFT calculation (PBE) of Ti2Nb2Tl after structural relaxation. Values from VASP.

```
&SYSTEM
  ibrav = 0, nat = 10, ntyp = 3
/
ATOMIC_SPECIES
Tl 204.38 Tl.upf
Nb 92.91 Nb.upf
Ti 47.87 Ti.upf
ATOMIC_POSITIONS angstrom
Tl 0.000 0.000 0.000
Nb -1.425 -3.741 3.530
Ti -3.010 -3.152 -1.664
Nb -5.076 -4.413 -0.395
Nb -3.762 -6.572 2.470
Ti -0.256 -2.565 1.248
Tl -1.985 -4.722 0.501
Nb -2.739 -1.583 0.665
Ti -3.715 -6.880 -0.245
Ti -0.961 -6.293 2.666
CELL_PARAMETERS angstrom
-5.003 -3.887 -3.584
1.033 -5.558 4.586
-2.530 1.290 2.133
```

Crystal system   tetragonal


Q: Which of them is the least stable? A: entry one.


Entry one
The following is a DFT calculation (PBE) of Ti3NbTl after structural relaxation. Values from VASP.

```
&SYSTEM
  ibrav = 0, nat = 5, ntyp = 3
/
ATOMIC_SPECIES
Ti 47.87 Ti.upf
Tl 204.38 Tl.upf
Nb 92.91 Nb.upf
ATOMIC_POSITIONS angstrom
Ti 0.000 2.418 0.000
Ti 2.418 0.000 0.000
Tl 2.418 2.418 2.418
Nb 0.000 0.000 0.000
Ti 0.000 0.000 2.418
CELL_PARAMETERS angstrom
4.835 0.000 0.000
0.000 4.835 0.000
0.000 0.000 4.835
```

Crystal system   cubic


Entry two
The following is a DFT calculation (PBE) of Ti3NbTl after structural relaxation. Values from VASP.

```
&SYSTEM
  ibrav = 0, nat = 10, ntyp = 3
/
ATOMIC_SPECIES
Tl 204.38 Tl.upf
Nb 92.91 Nb.upf
Ti 47.87 Ti.upf
ATOMIC_POSITIONS angstrom
Tl -3.198 0.543 -1.520
Tl -5.919 5.072 3.377
Nb -6.745 2.132 2.510
Ti -5.387 3.871 0.685
Ti -2.829 4.416 1.900
Nb -2.373 3.484 -0.653
Ti -8.478 4.298 2.071
Ti -6.288 1.200 -0.043
Ti -3.731 1.745 1.172
Ti -0.640 1.317 -0.214
CELL_PARAMETERS angstrom
-1.188 1.227 -3.030
-6.838 -2.080 1.839
-1.091 6.469 3.048
```

Crystal system   monoclinic


Q: Which of them is the least stable? A: entry one.


Entry one
The following is a DFT calculation (PBE) of TiNbTl after structural relaxation. Values from VASP.

```
&SYSTEM
  ibrav = 0, nat = 3, ntyp = 3
/
ATOMIC_SPECIES
Nb 92.91 Nb.upf
Ti 47.87 Ti.upf
Tl 204.38 Tl.upf
ATOMIC_POSITIONS angstrom
Nb -5.280 -0.219 0.129
Ti -2.873 -0.330 1.595
Tl -2.611 0.088 -1.353
CELL_PARAMETERS angstrom
-1.303 2.686 -1.793
-1.118 -2.189 -2.467
-2.961 -0.727 4.445
```

Crystal system   tetragonal


Entry two
The following is a DFT calculation (PBE) of TiNbTl after structural relaxation. Values from VASP.

```
&SYSTEM
  ibrav = 0, nat = 6, ntyp = 3
/
ATOMIC_SPECIES
Nb 92.91 Nb.upf
Tl 204.38 Tl.upf
Ti 47.87 Ti.upf
ATOMIC_POSITIONS angstrom
Nb -2.072 -0.632 6.048
Tl -1.257 -1.170 8.978
Nb 0.648 -3.154 0.906
Ti 1.047 -4.246 3.379
Tl -2.288 -0.773 11.823
Ti -0.239 -2.192 4.750
CELL_PARAMETERS angstrom
-0.720 -2.906 0.507
2.232 -2.653 1.173
-4.349 4.499 12.674
```

Crystal system   triclinic


Q: Which of them is the least stable? A: entry two.


Entry one
The following is a DFT calculation (PBE) of Ti3NbV after structural relaxation. Values from VASP.

```
&SYSTEM
  ibrav = 0, nat = 10, ntyp = 3
/
ATOMIC_SPECIES
Ti 47.87 Ti.upf
V 50.94 V.upf
Nb 92.91 Nb.upf
ATOMIC_POSITIONS angstrom
Ti -5.176 4.373 2.169
V -3.167 2.948 2.545
Ti -4.618 1.366 1.197
Nb -5.838 5.997 -0.327
Ti -1.594 1.493 1.274
Ti -2.587 4.469 0.602
Nb -2.238 -0.223 -1.165
Ti -2.570 0.654 3.311
Ti -3.328 5.273 3.426
V 0.000 0.000 0.000
CELL_PARAMETERS angstrom
-3.693 -1.799 -2.511
-1.951 -1.677 4.070
-1.561 9.311 0.241
```

Crystal system   tetragonal


Entry two
The following is a DFT calculation (PBE) of Ti3NbV after structural relaxation. Values from VASP.

```
&SYSTEM
  ibrav = 0, nat = 10, ntyp = 3
/
ATOMIC_SPECIES
Nb 92.91 Nb.upf
Ti 47.87 Ti.upf
V 50.94 V.upf
ATOMIC_POSITIONS angstrom
Nb 2.859 2.431 6.395
Ti 0.353 2.332 4.968
V -0.172 4.308 6.599
Ti 4.210 -0.490 4.636
Nb 0.963 1.698 1.932
V 3.029 1.551 3.913
Ti 2.543 3.804 3.205
Ti 1.407 -0.255 4.251
Ti 3.876 0.557 1.647
Ti 5.149 2.968 3.980
CELL_PARAMETERS angstrom
5.419 -1.040 1.140
0.514 5.304 1.274
-1.484 -0.791 5.215
```

Crystal system   monoclinic


Q: Which of them is the least stable? A: entry one.


Entry one
The following is a DFT calculation (PBE) of TiNbV3 after structural relaxation. Values from VASP.

```
&SYSTEM
  ibrav = 0, nat = 10, ntyp = 3
/
ATOMIC_SPECIES
Nb 92.91 Nb.upf
V 50.94 V.upf
Ti 47.87 Ti.upf
ATOMIC_POSITIONS angstrom
Nb 0.000 1.236 2.396
V 1.295 1.236 4.512
Nb 2.630 3.708 3.831
Ti 0.000 3.708 5.352
Ti 2.630 1.236 0.875
V 0.000 2.472 0.000
V -1.295 1.236 4.512
V 0.000 0.000 0.000
V 3.924 3.708 1.716
V 1.335 3.708 1.716
CELL_PARAMETERS angstrom
5.260 0.000 0.000
0.000 4.945 0.000
-2.630 0.000 6.227
```

Crystal system   orthorhombic


Entry two
The following is a DFT calculation (PBE) of TiNbV3 after structural relaxation. Values from VASP.

```
&SYSTEM
  ibrav = 0, nat = 5, ntyp = 3
/
ATOMIC_SPECIES
V 50.94 V.upf
Nb 92.91 Nb.upf
Ti 47.87 Ti.upf
ATOMIC_POSITIONS angstrom
V 0.550 -1.714 1.237
V 2.075 0.682 0.023
Nb 2.219 0.138 3.060
Ti 0.000 0.000 0.000
V -0.405 1.169 1.800
CELL_PARAMETERS angstrom
-0.810 2.339 3.599
1.099 -3.428 2.475
4.149 1.364 0.047
```

Crystal system   cubic


Q: Which of them is the least stable? A: entry two.


Entry one
The following is a DFT calculation (PBE) of Ti2NbV2 after structural relaxation. Values from VASP.

```
&SYSTEM
  ibrav = 0, nat = 5, ntyp = 3
/
ATOMIC_SPECIES
Ti 47.87 Ti.upf
V 50.94 V.upf
Nb 92.91 Nb.upf
ATOMIC_POSITIONS angstrom
Ti 0.000 1.555 4.150
V 0.000 4.056 3.654
Nb 0.000 0.000 0.000
V 1.517 0.513 2.188
Ti 1.517 3.014 1.692
CELL_PARAMETERS angstrom
3.033 0.000 0.000
0.000 5.214 0.712
-1.517 -0.645 5.130
```

Crystal system   monoclinic


Entry two
The following is a DFT calculation (PBE) of Ti2NbV2 after structural relaxation. Values from VASP.

```
&SYSTEM
  ibrav = 0, nat = 10, ntyp = 3
/
ATOMIC_SPECIES
Ti 47.87 Ti.upf
V 50.94 V.upf
Nb 92.91 Nb.upf
ATOMIC_POSITIONS angstrom
Ti 1.123 4.576 1.709
Ti 5.784 2.331 1.709
V 5.964 4.396 0.000
V 2.510 5.964 0.000
Nb 3.453 3.453 0.000
Ti 4.576 5.784 1.709
V 0.943 2.510 0.000
V 4.396 0.943 0.000
Ti 2.331 1.123 1.709
Nb 0.000 0.000 0.000
CELL_PARAMETERS angstrom
6.907 0.000 0.000
0.000 6.907 0.000
0.000 0.000 3.418
```

Crystal system   tetragonal


Q: Which of them is the least stable? A: entry two.


Entry one
The following is a DFT calculation (PBE) of Ti2NbV2 after structural relaxation. Values from VASP.

```
&SYSTEM
  ibrav = 0, nat = 5, ntyp = 3
/
ATOMIC_SPECIES
Nb 92.91 Nb.upf
Ti 47.87 Ti.upf
V 50.94 V.upf
ATOMIC_POSITIONS angstrom
Nb 0.000 0.000 0.000
Ti 1.797 1.797 1.286
Ti 3.593 3.593 5.159
V 1.797 3.593 3.223
V 3.593 1.797 3.223
CELL_PARAMETERS angstrom
3.593 0.000 0.000
0.000 3.593 0.000
1.797 1.797 6.445
```

Crystal system   tetragonal


Entry two
The following is a DFT calculation (PBE) of Ti2NbV2 after structural relaxation. Values from VASP.

```
&SYSTEM
  ibrav = 0, nat = 10, ntyp = 3
/
ATOMIC_SPECIES
Nb 92.91 Nb.upf
V 50.94 V.upf
Ti 47.87 Ti.upf
ATOMIC_POSITIONS angstrom
Nb 0.000 0.000 0.000
V 2.592 1.035 1.546
Ti 6.202 4.679 0.000
Ti 4.679 1.052 0.000
Ti 2.575 6.202 0.000
V 1.035 4.662 1.546
Nb 3.627 3.627 0.000
V 6.219 2.592 1.546
V 4.662 6.219 1.546
Ti 1.052 2.575 0.000
CELL_PARAMETERS angstrom
7.254 0.000 0.000
0.000 7.254 0.000
0.000 0.000 3.093
```

Crystal system   tetragonal


Q: Which of them is the least stable? A: entry one.


Entry one
The following is a DFT calculation (PBE) of TiNbVZn after structural relaxation. Values from VASP.

```
&SYSTEM
  ibrav = 0, nat = 4, ntyp = 4
/
ATOMIC_SPECIES
Ti 47.87 Ti.upf
Nb 92.91 Nb.upf
Zn 65.41 Zn.upf
V 50.94 V.upf
ATOMIC_POSITIONS angstrom
Ti 0.000 0.000 5.172
Nb 0.000 0.000 2.040
Zn 1.625 1.625 3.672
V 1.625 1.625 0.655
CELL_PARAMETERS angstrom
3.249 0.000 0.000
0.000 3.249 0.000
0.000 0.000 5.985
```

Crystal system   tetragonal


Entry two
The following is a DFT calculation (PBE) of TiNbVZn after structural relaxation. Values from VASP.

```
&SYSTEM
  ibrav = 0, nat = 4, ntyp = 4
/
ATOMIC_SPECIES
Zn 65.41 Zn.upf
Ti 47.87 Ti.upf
Nb 92.91 Nb.upf
V 50.94 V.upf
ATOMIC_POSITIONS angstrom
Zn 4.473 2.583 1.826
Ti 2.237 1.291 0.913
Nb 6.710 3.874 2.739
V 0.000 0.000 0.000
CELL_PARAMETERS angstrom
4.473 0.000 0.000
2.237 3.874 0.000
2.237 1.291 3.652
```

Crystal system   cubic


Q: Which of them is the least stable? A: entry two.